A relaxed structure of Ce2CuSi, computed with PBE-GGA.

abc: 3.7241 3.7241 6.3695
angles: 90.00 90.00 90.00
Positions (direct):
Si (0.5000, 0.5000, 0.5000)
Ce (0.0000, 0.0000, 0.7294)
Ce (0.0000, 0.0000, 0.2706)
Cu (0.5000, 0.5000, 0.0000)

Summary:
Total magnetization, μB/cell: 1.12
E_form (uncorrected), eV per formula unit: -1.1
Space-group type: P4/mmm

***

A relaxed structure of SmY3Ho2Bi6, computed with PBE-GGA.

abc: 7.7770 7.7770 7.7711
angles: 99.60 99.60 120.01
Positions (direct):
Ho (0.6672, 0.3328, 0.0000)
Ho (0.3328, 0.6672, 0.0000)
Sm (0.0000, 0.0000, 0.0000)
Bi (0.2542, 0.2542, 0.7507)
Bi (0.0838, 0.4208, 0.2509)
Bi (0.5792, 0.9162, 0.7491)
Bi (0.9162, 0.5792, 0.7491)
Bi (0.4208, 0.0838, 0.2509)
Bi (0.7458, 0.7458, 0.2493)
Y (0.5000, 0.5000, 0.5000)
Y (0.8351, 0.1649, 0.5000)
Y (0.1649, 0.8351, 0.5000)

Summary:
Total magnetization, μB/cell: 0.00
Calculated formation energy, eV/atom: -0.8805
Space-group type: C2/m

***

A relaxed structure of KBaHgPb, computed with PBE-GGA.

abc: 5.9686 5.9686 5.9686
angles: 60.00 60.00 60.00
Positions (direct):
Pb (0.2500, 0.2500, 0.2500)
K (0.5000, 0.5000, 0.5000)
Hg (0.7500, 0.7500, 0.7500)
Ba (0.0000, 0.0000, 0.0000)

Summary:
Total magnetization, μB/cell: 0.00
Calculated formation energy, eV/atom: -0.3277
Space-group type: F-43m